No. 1
Compound: AcYBe2Ge2
Source: the Alexandria database
Functional: PBE
Structure: relaxed

Summary:
For the formation energy, the calculation gives -0.5893 eV/atom. The total magnetization comes out at 0.00 μB per atom. For the density, the calculation gives 6525 kg/m3.

abc: 4.012 4.012 8.747
angles: 90.00 90.00 120.00
Fractional positions:
Ge 0.667 0.333 0.727
Ge 0.333 0.667 0.273
Y 0.000 0.000 0.500
Ac 0.000 0.000 0.000
Be 0.333 0.667 0.729
Be 0.667 0.333 0.271

---

No. 2
Compound: AcBeZnGe2
Source: the Alexandria database
Functional: PBE
Structure: relaxed

Summary:
For the formation energy, the calculation gives -0.3304 eV/atom. The total magnetization comes out at 0.00 μB per atom. For the density, the calculation gives 7439 kg/m3.

abc: 4.247 4.247 6.292
angles: 109.72 109.72 90.00
Fractional positions:
Ge 0.372 0.372 0.743
Ge 0.628 0.628 0.257
Ac 0.000 0.000 0.000
Zn 0.250 0.750 0.500
Be 0.750 0.250 0.500

---

Among the records above, which one has the highest formation energy? AcBeZnGe2

---

Copy entry 1 word for word.
Compound: AcYBe2Ge2
Source: the Alexandria database
Functional: PBE
Structure: relaxed

Summary:
For the formation energy, the calculation gives -0.5893 eV/atom. The total magnetization comes out at 0.00 μB per atom. For the density, the calculation gives 6525 kg/m3.

abc: 4.012 4.012 8.747
angles: 90.00 90.00 120.00
Fractional positions:
Ge 0.667 0.333 0.727
Ge 0.333 0.667 0.273
Y 0.000 0.000 0.500
Ac 0.000 0.000 0.000
Be 0.333 0.667 0.729
Be 0.667 0.333 0.271

---

Among the records above, which one has the lowest formation energy? AcYBe2Ge2